BaTl2BiSb after structural relaxation, computed with PBE-GGA.

Cell lengths 8.256, 8.256, 7.079 Å; angles 90.00, 90.00, 129.36 degrees
Sites, in units of the cell vectors:
Ba 0.249 0.751 0.750
Ba 0.751 0.249 0.250
Tl 0.254 0.254 0.000
Tl 0.254 0.254 0.500
Tl 0.746 0.746 0.000
Tl 0.746 0.746 0.500
Bi 0.149 0.851 0.250
Bi 0.851 0.149 0.750
Sb 0.350 0.650 0.250
Sb 0.650 0.350 0.750

Output
Total magnetization: 0.00 μB/cell
Total DFT energy (no corrections): -3.327 eV/atom
Formation energy (no corrections): -0.395 eV per atom